(1)
The following is a DFT calculation (GGA-PBE) of a geometry-optimized CoMoSe2N structure.

Summary:
crystal system: tetragonal
formation energy (no corrections): 59.1 kJ/mol of atoms
calculated volume: 96 Å³ per cell
raw total energy: -30.17 eV per cell
magnetization: 0.50 μB/atom
calculated density: 5.6 Mg/m³

a = 5.062 Å, b = 5.062 Å, c = 3.764 Å
α = 90.00°, β = 90.00°, γ = 90.00°
Space group P4/mmm (No. 123)
One atom of each set of equivalent atoms:
Co 0.000 0.000 0.000
Mo 0.500 0.500 0.500
Se 0.000 0.500 0.500
N 0.500 0.500 0.000

---

(2)
The following is a DFT calculation (GGA-PBE) of a geometry-optimized CoMoSeN2 structure.

Summary:
crystal system: tetragonal
formation energy (no corrections): 115.4 kJ/mol of atoms
calculated volume: 66 Å³ per cell
raw total energy: -32.09 eV per cell
magnetization: 0.08 μB/atom
calculated density: 6.6 Mg/m³

a = 3.724 Å, b = 3.724 Å, c = 4.730 Å
α = 90.00°, β = 90.00°, γ = 90.00°
Space group P4/mmm (No. 123)
One atom of each set of equivalent atoms:
Co 0.000 0.000 0.000
Mo 0.500 0.500 0.500
Se 0.000 0.000 0.500
N 0.000 0.500 0.000

---

(3)
The following is a DFT calculation (GGA-PBE) of a geometry-optimized Co2SnMoN structure.

Summary:
crystal system: tetragonal
formation energy (no corrections): 45.0 kJ/mol of atoms
calculated volume: 68 Å³ per cell
raw total energy: -35.04 eV per cell
magnetization: 0.59 μB/atom
calculated density: 8.5 Mg/m³

a = 3.779 Å, b = 3.779 Å, c = 4.742 Å
α = 90.00°, β = 90.00°, γ = 90.00°
Space group P4/mmm (No. 123)
One atom of each set of equivalent atoms:
Co 0.000 0.500 0.000
Sn 0.000 0.000 0.500
Mo 0.500 0.500 0.500
N 0.000 0.000 0.000

---

(4)
The following is a DFT calculation (GGA-PBE) of a geometry-optimized Co2SnMoN structure.

Summary:
crystal system: tetragonal
formation energy (no corrections): -4.5 kJ/mol of atoms
calculated volume: 63 Å³ per cell
raw total energy: -37.60 eV per cell
magnetization: 0.20 μB/atom
calculated density: 9.1 Mg/m³

a = 3.918 Å, b = 3.918 Å, c = 4.112 Å
α = 90.00°, β = 90.00°, γ = 90.00°
Space group P4/mmm (No. 123)
One atom of each set of equivalent atoms:
Co 0.000 0.500 0.000
Sn 0.000 0.000 0.500
Mo 0.500 0.500 0.500
N 0.500 0.500 0.000

---

(5)
The following is a DFT calculation (GGA-PBE) of a geometry-optimized Tb2CoMoN5 structure.

Summary:
crystal system: orthorhombic
formation energy (no corrections): -67.7 kJ/mol of atoms
calculated volume: 434 Å³ per cell
raw total energy: -300.54 eV per cell
magnetization: 0.00 μB/atom
calculated density: 8.3 Mg/m³

a = 3.165 Å, b = 14.178 Å, c = 9.682 Å
α = 90.00°, β = 90.00°, γ = 90.00°
Space group Cmc2_1 (No. 36)
One atom of each set of equivalent atoms:
Tb 0.000 0.117 0.000
Tb 0.000 0.117 0.382
Co 0.000 0.447 0.139
Mo 0.000 0.211 0.703
N 0.000 0.021 0.700
N 0.000 0.304 0.345
N 0.000 0.322 0.058
N 0.000 0.339 0.689
N 0.000 0.497 0.960

---

(6)
The following is a DFT calculation (GGA-PBE) of a geometry-optimized ZnCo2MoN structure.

Summary:
crystal system: tetragonal
formation energy (no corrections): -8.2 kJ/mol of atoms
calculated volume: 59 Å³ per cell
raw total energy: -35.07 eV per cell
magnetization: 0.55 μB/atom
calculated density: 8.3 Mg/m³

a = 3.810 Å, b = 3.810 Å, c = 4.054 Å
α = 90.00°, β = 90.00°, γ = 90.00°
Space group P4/mmm (No. 123)
One atom of each set of equivalent atoms:
Zn 0.000 0.000 0.000
Co 0.000 0.500 0.500
Mo 0.500 0.500 0.000
N 0.500 0.500 0.500

---

(7)
The following is a DFT calculation (GGA-PBE) of a geometry-optimized Na3CoMo structure.

Summary:
crystal system: cubic
calculated formation energy: 1574.0 meV per atom
calculated volume: 151 Å³ per cell
raw total energy: -14.02 eV per cell
magnetization: 1.23 μB/atom
calculated density: 2.5 Mg/m³

a = 5.329 Å, b = 5.329 Å, c = 5.329 Å
α = 90.00°, β = 90.00°, γ = 90.00°
Space group Pm-3m (No. 221)
One atom of each set of equivalent atoms:
Na 0.000 0.000 0.500
Co 0.000 0.000 0.000
Mo 0.500 0.500 0.500

---

(8)
The following is a DFT calculation (GGA-PBE) of a geometry-optimized Na2CoMo structure.

Summary:
crystal system: tetragonal
calculated formation energy: 1330.7 meV per atom
calculated volume: 452 Å³ per cell
raw total energy: -61.01 eV per cell
magnetization: 0.58 μB/atom
calculated density: 2.9 Mg/m³

a = 10.173 Å, b = 10.173 Å, c = 4.371 Å
α = 90.00°, β = 90.00°, γ = 90.00°
Space group I-42d (No. 122)
One atom of each set of equivalent atoms:
Na 0.115 0.250 0.125
Co 0.000 0.000 0.000
Mo 0.000 0.000 0.500

---

(9)
The following is a DFT calculation (GGA-PBE) of a geometry-optimized NaCo2Mo structure.

Summary:
crystal system: tetragonal
calculated formation energy: 946.8 meV per atom
calculated volume: 251 Å³ per cell
raw total energy: -90.30 eV per cell
magnetization: 0.00 μB/atom
calculated density: 6.3 Mg/m³

a = 6.719 Å, b = 6.719 Å, c = 5.556 Å
α = 90.00°, β = 90.00°, γ = 90.00°
Space group I-42d (No. 122)
One atom of each set of equivalent atoms:
Na 0.000 0.000 0.000
Co 0.208 0.750 0.625
Mo 0.000 0.000 0.500

---

(10)
The following is a DFT calculation (GGA-PBE) of a geometry-optimized Na2CoMo structure.

Summary:
crystal system: cubic
calculated formation energy: 1547.1 meV per atom
calculated volume: 323 Å³ per cell
raw total energy: -57.55 eV per cell
magnetization: 1.35 μB/atom
calculated density: 4.1 Mg/m³

a = 6.859 Å, b = 6.859 Å, c = 6.859 Å
α = 90.00°, β = 90.00°, γ = 90.00°
Space group Fm-3m (No. 225)
One atom of each set of equivalent atoms:
Na 0.250 0.250 0.250
Co 0.000 0.000 0.000
Mo 0.000 0.000 0.500

---

(11)
The following is a DFT calculation (GGA-PBE) of a geometry-optimized NaCo2Mo structure.

Summary:
crystal system: cubic
calculated formation energy: 704.4 meV per atom
calculated volume: 217 Å³ per cell
raw total energy: -94.18 eV per cell
magnetization: 0.26 μB/atom
calculated density: 7.3 Mg/m³

a = 6.008 Å, b = 6.008 Å, c = 6.008 Å
α = 90.00°, β = 90.00°, γ = 90.00°
Space group Fm-3m (No. 225)
One atom of each set of equivalent atoms:
Na 0.000 0.000 0.000
Co 0.250 0.250 0.250
Mo 0.000 0.000 0.500